The following is a DFT calculation (GGA-PBE) of a relaxed PrY2Al crystal.

Unit cell a=5.435 b=5.435 c=5.435 alpha=60.00 beta=60.00 gamma=60.00
Fractional coordinates of all 4 atoms:
Pr 0.000 0.000 0.000
Y 0.250 0.250 0.250
Y 0.750 0.750 0.750
Al 0.500 0.500 0.500

***

The following is a DFT calculation (GGA-PBE) of a relaxed Pr2Y8Al crystal.

Unit cell a=9.785 b=9.785 c=5.845 alpha=92.90 beta=92.90 gamma=40.59
Fractional coordinates of all 11 atoms:
Pr 0.223 0.223 0.259
Pr 0.777 0.777 0.741
Y 0.052 0.052 0.224
Y 0.129 0.639 0.262
Y 0.334 0.334 0.775
Y 0.361 0.871 0.738
Y 0.639 0.129 0.262
Y 0.666 0.666 0.225
Y 0.871 0.361 0.738
Y 0.948 0.948 0.776
Al 0.500 0.500 0.000

***

The calculation returns the following energy of formation values, one per record and in order: -0.004 0.105 eV per atom.
The calculation returns the following calculated volume values, one per record and in order: 113.52 363.56 Å³/cell.
The calculation returns the following D(E_F) values, one per record and in order: 1.662 1.313 states/eV per atom.